Here is a relaxed LaPm2Ho crystal from Alexandria via LeMat-Bulk. Energies are from GGA-PBE.

Summary:
Total magnetic moment = 0.0 μB per formula unit
ΔH_f (0 K) = 0.034 eV per atom
V = 34.52 A^3/atom

Cell lengths 6.3863, 5.8721, 14.7297 Å; angles 90.00, 90.00, 90.00 degrees
Closest atoms and distances in Å follow each position.
Fractional coordinates of all 16 atoms:
La 0.0848 0.2500 0.1885  7 Pm 3.62-3.69, 2 La 3.67, 3 Ho 3.69-3.73
La 0.4152 0.7500 0.6885  7 Pm 3.62-3.69, 2 La 3.67, 3 Ho 3.69-3.73
La 0.5848 0.2500 0.3115  7 Pm 3.62-3.69, 2 La 3.67, 3 Ho 3.69-3.73
La 0.9152 0.7500 0.8115  7 Pm 3.62-3.69, 2 La 3.67, 3 Ho 3.69-3.73
Pm 0.0829 0.2500 0.6849  3 Ho 3.62, 4 La 3.62-3.64, 5 Pm 3.65-3.73
Pm 0.0864 0.2500 0.9379  4 Ho 3.62-3.70, 5 Pm 3.63-3.73, 3 La 3.64-3.69
Pm 0.4136 0.7500 0.4379  4 Ho 3.62-3.70, 5 Pm 3.63-3.73, 3 La 3.64-3.69
Pm 0.4171 0.7500 0.1849  3 Ho 3.62, 4 La 3.62-3.64, 5 Pm 3.65-3.73
Pm 0.5829 0.2500 0.8151  3 Ho 3.62, 4 La 3.62-3.64, 5 Pm 3.65-3.73
Pm 0.5864 0.2500 0.5621  4 Ho 3.62-3.70, 5 Pm 3.63-3.73, 3 La 3.64-3.69
Pm 0.9136 0.7500 0.0621  4 Ho 3.62-3.70, 5 Pm 3.63-3.73, 3 La 3.64-3.69
Pm 0.9171 0.7500 0.3151  3 Ho 3.62, 4 La 3.62-3.64, 5 Pm 3.65-3.73
Ho 0.0812 0.2500 0.4394  2 Ho 3.59, 7 Pm 3.62-3.70, 3 La 3.69-3.73
Ho 0.4188 0.7500 0.9394  2 Ho 3.59, 7 Pm 3.62-3.70, 3 La 3.69-3.73
Ho 0.5812 0.2500 0.0606  2 Ho 3.59, 7 Pm 3.62-3.70, 3 La 3.69-3.73
Ho 0.9188 0.7500 0.5606  2 Ho 3.59, 7 Pm 3.62-3.70, 3 La 3.69-3.73